Material: FeRuF3
Method: DFT, PBE with a Hubbard U
State: relaxed

Calculated values
total DFT energy (no corrections) = -22.126 eV/cell
space-group type = Pm-3m (221)
magnetic moment = 6.17 μB/cell

a b c (Å): 4.2218 4.2218 4.2218
angles (deg): 90.00 90.00 90.00
Element x y z (fractional)
Fe: 0.0000 0.0000 0.0000
Ru: 0.5000 0.5000 0.5000
F: 0.0000 0.5000 0.5000
F: 0.5000 0.0000 0.5000
F: 0.5000 0.5000 0.0000